This record from Alexandria describes a relaxed Ca2NiMo crystal. The functional is PBEsol.

Cell lengths 4.925, 4.925, 4.925 Å; angles 60.00, 60.00, 60.00 degrees
Site moments in Bohr magnetons follow the coordinates.
Element x y z (fractional)
Ni  0.500  0.500  0.500  0.34
Mo  0.000  0.000  0.000  2.62
Ca  0.250  0.250  0.250  0.05
Ca  0.750  0.750  0.750  0.05

## Properties
**Energy of formation**: 0.85 eV/atom
**Raw total energy**: -4.69 eV per atom
**Excess energy over the best structure of this formula in the dataset**: 0.491 eV per atom
**Space-group type**: Fm-3m


This record from Alexandria describes a relaxed Ca2NiMo crystal. The functional is PBEsol.

Cell lengths 3.154, 3.155, 8.802 Å; angles 90.00, 90.00, 90.00 degrees
Element x y z (fractional)
Ni  0.500  0.500  0.306
Mo  0.000  0.000  0.432
Ca  0.000  0.000  0.073
Ca  0.500  0.500  0.688

## Properties
**Energy of formation**: 0.36 eV/atom
**Raw total energy**: -5.19 eV per atom
**Excess energy over the best structure of this formula in the dataset**: 0.000 eV per atom
**Space-group type**: P4mm


This record from Alexandria describes a relaxed CaNiMo crystal. The functional is PBEsol.

Cell lengths 2.738, 4.586, 4.586 Å; angles 120.00, 90.00, 90.00 degrees
Element x y z (fractional)
Ni  0.456  0.667  0.333
Mo  0.548  0.333  0.667
Ca  0.996  0.000  0.000

## Properties
**Energy of formation**: 0.76 eV/atom
**Raw total energy**: -5.93 eV per atom
**Space-group type**: P3m1


This record from Alexandria describes a relaxed CaNiMo3 crystal. The functional is PBEsol.

Cell lengths 4.414, 4.414, 4.414 Å; angles 90.00, 90.00, 90.00 degrees
Element x y z (fractional)
Ni  0.500  0.500  0.500
Mo  0.000  0.500  0.000
Mo  0.000  0.000  0.500
Mo  0.500  0.000  0.000
Ca  0.000  0.000  0.000

## Properties
**Energy of formation**: 2.85 eV/atom
**Raw total energy**: -5.87 eV per atom
**Space-group type**: Pm-3m


This record from Alexandria describes a relaxed Ca2TiNiMo crystal. The functional is PBEsol.

Cell lengths 4.587, 5.094, 5.094 Å; angles 90.00, 90.00, 90.00 degrees
Site moments in Bohr magnetons follow the coordinates.
Element x y z (fractional)
Ni  0.000  0.000  0.000  0.04
Mo  0.500  0.000  0.000  -1.02
Ca  0.000  0.000  0.500  0.04
Ca  0.000  0.500  0.000  0.04
Ti  0.500  0.500  0.500  1.67

## Properties
**Energy of formation**: 0.95 eV/atom
**Raw total energy**: -5.16 eV per atom
**Space-group type**: P4/mmm


This record from Alexandria describes a relaxed CaMoO2 crystal. The functional is PBEsol.

Cell lengths 4.560, 4.560, 6.522 Å; angles 110.46, 110.46, 90.00 degrees
Element x y z (fractional)
Mo  0.250  0.750  0.500
Mo  0.000  0.000  0.000
Ca  0.750  0.250  0.500
Ca  0.500  0.500  0.000
O  0.288  0.875  0.250
O  0.962  0.375  0.250
O  0.125  0.038  0.750
O  0.625  0.712  0.750

## Properties
**Raw total energy**: -7.64 eV per atom
**Space-group type**: I-42d


This record from Alexandria describes a relaxed CaMoP2O crystal. The functional is PBEsol.

Cell lengths 3.790, 4.811, 4.811 Å; angles 90.00, 90.00, 90.00 degrees
Element x y z (fractional)
P  0.000  0.000  0.500
P  0.000  0.500  0.000
Mo  0.000  0.000  0.000
Ca  0.500  0.500  0.500
O  0.500  0.000  0.000

## Properties
**Raw total energy**: -7.03 eV per atom
**Space-group type**: P4/mmm


This record from Alexandria describes a relaxed CaMo2P2O10 crystal. The functional is PBEsol.

Cell lengths 7.042, 7.042, 8.744 Å; angles 102.91, 102.91, 116.42 degrees
Site moments in Bohr magnetons follow the coordinates.
Element x y z (fractional)
Ca  0.250  0.750  0.500  0.01
Ca  0.000  0.000  0.000  0.01
Mo  0.625  0.875  0.250  1.27
Mo  0.625  0.375  0.750  1.27
Mo  0.625  0.375  0.250  1.27
Mo  0.125  0.375  0.750  1.27
P  0.795  0.795  0.590  0.01
P  0.455  0.955  0.910  0.01
P  0.205  0.205  0.410  0.01
P  0.045  0.545  0.090  0.01
O  0.969  0.995  0.291  0.02
O  0.413  0.413  0.825  -0.04
O  0.906  0.616  0.977  0.01
O  0.245  0.719  0.791  0.02
O  0.322  0.296  0.291  0.02
O  0.344  0.134  0.523  0.01
O  0.837  0.337  0.675  -0.04
O  0.587  0.587  0.175  -0.04
O  0.663  0.163  0.325  -0.04
O  0.281  0.755  0.209  0.02
O  0.704  0.678  0.709  0.02
O  0.546  0.072  0.791  0.02
O  0.005  0.031  0.709  0.02
O  0.071  0.361  0.977  0.01
O  0.611  0.821  0.477  0.01
O  0.384  0.094  0.023  0.01
O  0.866  0.656  0.477  0.01
O  0.639  0.929  0.023  0.01
O  0.928  0.454  0.209  0.02
O  0.179  0.389  0.523  0.01

## Properties
**Raw total energy**: -8.22 eV per atom
**Space-group type**: Fddd


What is the raw total energy in the seventh record?
-7.03 eV per atom